Entry from Alexandria via LeMat-Bulk: crystalline MgP5 at its relaxed geometry (GGA-PBE).

Output
E_tot = -0.3376 Ry/atom
Total moment = 0.0 μB/cell
E above lowest polymorph = 101 meV/atom

a b c (Å): 4.7469 12.7625 3.4099
angles (deg): 90.00 90.00 90.00
Element x y z (fractional)
1 Mg 0.0000 0.0000 0.0000
2 Mg 0.5000 0.5000 0.0000
3 P 0.0000 0.2477 0.5000
4 P 0.0000 0.3670 0.0000
5 P 0.0000 0.5000 0.5000
6 P 0.0000 0.6330 0.0000
7 P 0.0000 0.7523 0.5000
8 P 0.5000 0.0000 0.5000
9 P 0.5000 0.1330 0.0000
10 P 0.5000 0.2523 0.5000
11 P 0.5000 0.7477 0.5000
12 P 0.5000 0.8670 0.0000